Material: TiTlNi2Bi
Method: DFT, PBE
State: optimized geometry

Cell lengths 4.6924, 5.7369, 4.6924 Å; angles 90.00, 90.00, 90.00 degrees
Element x y z (fractional)
Bi 0.0000 0.5000 0.0000
Tl 0.0000 0.0000 0.0000
Ni 0.0000 0.0000 0.5000
Ni 0.5000 0.0000 0.0000
Ti 0.5000 0.5000 0.5000

Calculated values
- space group = P4/mmm (123)
- mass density (g cm⁻³) = 7.61
- formation energy (meV/atom) = 1282

Material: ZnCl5
Method: DFT, PBE
State: optimized geometry

Cell lengths 3.4104, 5.2543, 10.9956 Å; angles 90.00, 107.12, 90.00 degrees
Last column: magnetic moment on the atom in μB.
Element x y z (fractional)
Cl 0.3982 0.5000 0.4511  0.08
Cl 0.0500 0.0000 0.6111  0.37
Cl 0.7024 0.5000 0.7712  0.08
Cl 0.9762 0.0000 0.0168  0.03
Cl 0.1560 0.0000 0.2051  0.03
Zn 0.0506 0.5000 0.6113  0.01

Calculated values
- E_form (uncorrected) (meV per atom) = -359.4
- space group = Pm (6)
- mass density (g cm⁻³) = 2.14

Material: Pr3EuCo
Method: DFT, PBE
State: optimized geometry

Cell lengths 5.5558, 5.5558, 5.5558 Å; angles 90.00, 90.00, 90.00 degrees
Last column: magnetic moment on the atom in μB.
Element x y z (fractional)
Pr 0.5000 0.0000 0.0000  -0.06
Pr 0.0000 0.5000 0.0000  -0.06
Pr 0.0000 0.0000 0.5000  -0.06
Eu 0.5000 0.5000 0.5000  -6.93
Co 0.0000 0.0000 0.0000  -0.05

Calculated values
- space group = Pm-3m (221)
- mass density (g cm⁻³) = 6.14
- formation energy (meV/atom) = 45

Material: ErTl7
Method: DFT, PBE
State: optimized geometry

Cell lengths 6.8765, 6.8765, 6.8765 Å; angles 60.00, 60.00, 60.00 degrees
Element x y z (fractional)
Tl 0.0000 0.5000 0.5000
Tl 0.5000 0.5000 0.0000
Tl 0.0000 0.0000 0.5000
Tl 0.5000 0.5000 0.5000
Tl 0.5000 0.0000 0.5000
Tl 0.5000 0.0000 0.0000
Tl 0.0000 0.5000 0.0000
Er 0.0000 0.0000 0.0000

Calculated values
- space group = Fm-3m (225)
- mass density (g cm⁻³) = 11.54
- formation energy (meV/atom) = -63

Q: Which formula does entry 4 have?
A: ErTl7

Q: What is the mass density in the third record?
A: 6.14 g cm⁻³

Q: The highest mass density belongs to which entry?
A: ErTl7